No. 1
# PBE SrSi2W, relaxed
data_SrSi2W
_chemical_formula_sum 'Sr2 Si4 W2'
_symmetry_space_group_name_H-M 'C 1 2/m 1'
_symmetry_Int_Tables_number 12
_cell_length_a 6.903
_cell_length_b 7.725
_cell_length_c 2.888
_cell_angle_alpha 90.00
_cell_angle_beta 104.63
_cell_angle_gamma 90.00
loop_
_symmetry_equiv_pos_as_xyz
'x,y,z'
'-x,-y,-z'
'-x,y,-z'
'x,-y,z'
'x+1/2,y+1/2,z'
'-x+1/2,-y+1/2,-z'
'-x+1/2,y+1/2,-z'
'x+1/2,-y+1/2,z'
loop_
_atom_site_label
_atom_site_fract_x
_atom_site_fract_y
_atom_site_fract_z
_atom_site_occupancy
Sr1 0.000 0.000 0.000 1
Si1 0.250 0.250 0.500 1
W1 0.000 0.500 0.000 1
# * mass density: 7302 kg/m3
# * distance to the lowest polymorph of the same formula: 678 meV/atom
# * total magnetic moment: 0.00 μB per formula unit
# * total energy: -5.7620 eV/atom



No. 2
# PBE Sr2ZrSiW, relaxed
data_Sr2ZrSiW
_chemical_formula_sum 'Sr2 Zr1 Si1 W1'
_symmetry_space_group_name_H-M 'P 4/m m m'
_symmetry_Int_Tables_number 123
_symmetry_space_group_name_Hall '-P 4 2'
_cell_length_a 5.906
_cell_length_b 5.906
_cell_length_c 4.945
_cell_angle_alpha 90.00
_cell_angle_beta 90.00
_cell_angle_gamma 90.00
loop_
_atom_site_label
_atom_site_fract_x
_atom_site_fract_y
_atom_site_fract_z
_atom_site_occupancy
Sr1 0.000 0.500 0.000 1
Zr1 0.000 0.000 0.000 1
Si1 0.000 0.000 0.500 1
W1 0.500 0.500 0.500 1
# * mass density: 4605 kg/m3
# * total magnetic moment: 0.24 μB per formula unit
# * total energy: -4.1046 eV/atom



No. 3
# PBE Sr2YSi, relaxed
data_Sr2YSi
_chemical_formula_sum 'Sr2 Y1 Si1'
_symmetry_space_group_name_H-M 'P 4 m m'
_symmetry_Int_Tables_number 99
_cell_length_a 3.763
_cell_length_b 3.763
_cell_length_c 10.066
_cell_angle_alpha 90.00
_cell_angle_beta 90.00
_cell_angle_gamma 90.00
loop_
_symmetry_equiv_pos_as_xyz
'x,y,z'
'-y,x,z'
'-x,-y,z'
'y,-x,z'
'-x,y,z'
'y,x,z'
'x,-y,z'
'-y,-x,z'
loop_
_atom_site_label
_atom_site_fract_x
_atom_site_fract_y
_atom_site_fract_z
_atom_site_occupancy
Sr1 0.000 0.000 0.000 1
Sr2 0.500 0.500 0.355 1
Y1 0.000 0.000 0.661 1
Si1 0.500 0.500 0.799 1
# * mass density: 3404 kg/m3
# * total magnetic moment: 0.00 μB per formula unit
# * total energy: -3.9663 eV/atom



No. 4
# PBE Sr2YSi, relaxed
data_Sr2YSi
_chemical_formula_sum 'Sr4 Y2 Si2'
_symmetry_space_group_name_H-M 'A m m 2'
_symmetry_Int_Tables_number 38
_cell_length_a 3.996
_cell_length_b 4.176
_cell_length_c 18.399
_cell_angle_alpha 90.00
_cell_angle_beta 90.00
_cell_angle_gamma 90.00
loop_
_symmetry_equiv_pos_as_xyz
'x,y,z'
'-x,-y,z'
'-x,y,z'
'x,-y,z'
'x,y+1/2,z+1/2'
'-x,-y+1/2,z+1/2'
'-x,y+1/2,z+1/2'
'x,-y+1/2,z+1/2'
loop_
_atom_site_label
_atom_site_fract_x
_atom_site_fract_y
_atom_site_fract_z
_atom_site_occupancy
Sr1 0.000 0.000 0.000 1
Sr2 0.500 0.000 0.320 1
Y1 0.000 0.000 0.668 1
Si1 0.500 0.000 0.149 1
# * mass density: 3161 kg/m3
# * total magnetic moment: 0.33 μB per formula unit
# * total energy: -4.0248 eV/atom



No. 5
# PBE Sr2YSi, relaxed
data_Sr2YSi
_chemical_formula_sum 'Sr4 Y2 Si2'
_symmetry_space_group_name_H-M 'C m m m'
_symmetry_Int_Tables_number 65
_symmetry_space_group_name_Hall '-C 2 2'
_cell_length_a 6.843
_cell_length_b 9.841
_cell_length_c 3.904
_cell_angle_alpha 90.00
_cell_angle_beta 90.00
_cell_angle_gamma 90.00
loop_
_atom_site_label
_atom_site_fract_x
_atom_site_fract_y
_atom_site_fract_z
_atom_site_occupancy
Sr1 0.250 0.250 0.000 1
Y1 0.000 0.000 0.500 1
Si1 0.000 0.500 0.500 1
# * mass density: 3692 kg/m3
# * total magnetic moment: 0.00 μB per formula unit
# * total energy: -3.6058 eV/atom



No. 6
# PBE SrYSi4, relaxed
data_SrYSi4
_chemical_formula_sum 'Sr4 Y4 Si16'
_symmetry_space_group_name_H-M 'F -4 3 m'
_symmetry_Int_Tables_number 216
_symmetry_space_group_name_Hall 'F -4 2 3'
_cell_length_a 7.740
_cell_length_b 7.740
_cell_length_c 7.740
_cell_angle_alpha 90.00
_cell_angle_beta 90.00
_cell_angle_gamma 90.00
loop_
_atom_site_label
_atom_site_fract_x
_atom_site_fract_y
_atom_site_fract_z
_atom_site_occupancy
Sr1 0.000 0.000 0.000 1
Y1 0.250 0.250 0.750 1
Si1 0.119 0.119 0.381 1
# * mass density: 4137 kg/m3
# * distance to the lowest polymorph of the same formula: 195 meV/atom
# * total magnetic moment: 0.00 μB per formula unit
# * total energy: -5.1654 eV/atom



No. 7
# PBE Sr2YSi, relaxed
data_Sr2YSi
_chemical_formula_sum 'Sr4 Y2 Si2'
_symmetry_space_group_name_H-M 'C 1 m 1'
_symmetry_Int_Tables_number 8
_cell_length_a 8.181
_cell_length_b 4.717
_cell_length_c 8.760
_cell_angle_alpha 90.00
_cell_angle_beta 108.04
_cell_angle_gamma 90.00
loop_
_symmetry_equiv_pos_as_xyz
'x,y,z'
'x,-y,z'
'x+1/2,y+1/2,z'
'x+1/2,-y+1/2,z'
loop_
_atom_site_label
_atom_site_fract_x
_atom_site_fract_y
_atom_site_fract_z
_atom_site_occupancy
Sr1 0.000 0.000 0.000 1
Sr2 0.197 0.000 0.593 1
Y1 0.434 0.000 0.302 1
Si1 0.242 0.500 0.226 1
# * mass density: 3019 kg/m3
# * total magnetic moment: 0.00 μB per formula unit
# * total energy: -3.9461 eV/atom



No. 8
# PBE SrY4Si, relaxed
data_SrY4Si
_chemical_formula_sum 'Sr4 Y16 Si4'
_symmetry_space_group_name_H-M 'F -4 3 m'
_symmetry_Int_Tables_number 216
_symmetry_space_group_name_Hall 'F -4 2 3'
_cell_length_a 9.260
_cell_length_b 9.260
_cell_length_c 9.260
_cell_angle_alpha 90.00
_cell_angle_beta 90.00
_cell_angle_gamma 90.00
loop_
_atom_site_label
_atom_site_fract_x
_atom_site_fract_y
_atom_site_fract_z
_atom_site_occupancy
Sr1 0.000 0.000 0.000 1
Y1 0.124 0.124 0.624 1
Si1 0.250 0.250 0.250 1
# * mass density: 3942 kg/m3
# * total magnetic moment: 0.00 μB per formula unit
# * total energy: -5.0371 eV/atom